Entry from the Alexandria database: a geometry-optimized AlMoAu2 structure (PBEsol).

a b c (Å): 2.8153 4.8066 5.4953
angles (deg): 115.93 104.84 90.00
Last column: nearest neighbours and their distance in Å.
Atoms (fractional coordinates):
1 Mo 0.5124 0.5124 0.0248  2 Al 2.68, 6 Au 2.80-2.86, 2 Mo 2.82
2 Au 0.9850 0.9850 0.9700  2 Al 2.61, 4 Mo 2.80, 4 Au 2.82-2.87
3 Au 0.7493 0.2493 0.4986  4 Al 2.79, 4 Au 2.82-2.87, 2 Mo 2.86
4 Al 0.2533 0.7533 0.5066  6 Au 2.61-2.79, 2 Mo 2.68, 2 Al 2.82

Computed properties:
Its density is 13.4 g/cm³. The calculation puts the formation energy at 0.0409 eV per atom. The value obtained for the calculated volume is 64.1 Å³ per cell.